{
  "formula": "BaGeWF2",
  "functional": "PBE with a Hubbard U",
  "state": "relaxed",
  "cell": [[4.7528, 0.0000, 0.0000], [0.0000, 4.7528, 0.0000], [0.0000, 0.0000, 5.2978]],
  "species": ["Ba", "Ge", "W", "F", "F"],
  "frac_coords": [[0.0000, 0.0000, 0.0000], [0.5000, 0.5000, 0.5000], [0.5000, 0.5000, 0.0000], [0.0000, 0.5000, 0.5000], [0.5000, 0.0000, 0.5000]],
  "sg": "P4/mmm, No. 123",
  "magnetic_moment_mub_per_cell": 4.340,
  "final_energy_ev_per_atom": -4.252
}